# 1
The following is a GGA-PBE calculation of a relaxed TbEr3Zn4 crystal, from Alexandria via LeMat-Bulk.

The structure belongs to space group P4/mmm (No. 123); the cell edges are 5.006, 5.006 and 7.137 Å and the angles 90.00°, 90.00° and 90.00°. Symmetry generates all atoms from Tb at (0.000, 0.000, 0.000), Er at (0.000, 0.000, 0.500), Er at (0.500, 0.500, 0.000), Er at (0.500, 0.500, 0.500) and Zn at (0.000, 0.500, 0.254).

For the formation energy from the elements, the calculation gives -0.3458 eV per atom. The value obtained for the total moment is 0.00 μB per cell. The crystal system is tetragonal.


# 2
The following is a GGA-PBE calculation of a relaxed AcDyCu2S4 crystal, from Alexandria via LeMat-Bulk.

The structure belongs to space group I222 (No. 23); the cell edges are 6.523, 7.014 and 7.887 Å and the angles 90.00°, 90.00° and 90.00°. Symmetry generates all atoms from Ac at (0.000, 0.000, 0.000), Dy at (0.000, 0.000, 0.500), Cu at (0.000, 0.500, 0.165) and S at (0.243, 0.202, 0.302).

As for the raw formation energy: -1.30 eV per atom. The value obtained for the total moment is 0.00 μB per cell. The crystal system is orthorhombic.